Entry 1:
# TcSn2B2 PBE relaxed
# - E_form: 21.42 kcal/mol of atoms
# - Raw total energy: -5.416 eV/atom
data_TcSn2B2
_cell_length_a 3.030
_cell_length_b 3.030
_cell_length_c 16.049
_cell_angle_alpha 90.00
_cell_angle_beta 90.00
_cell_angle_gamma 90.00
_space_group_name_H-M_alt 'I 4/m m m'
_space_group_IT_number 139
_space_group_name_Hall '-I 4 2'
loop_
_atom_site_label
_atom_site_type_symbol
_atom_site_fract_x
_atom_site_fract_y
_atom_site_fract_z
Tc1 Tc 0.000 0.000 0.000
Sn1 Sn 0.000 0.000 0.385
B1 B 0.000 0.500 0.250

***

Entry 2:
# NbAgTe4 PBE relaxed
# - Raw formation energy: -0.14 eV per atom
# - Raw total energy: -4.388 eV/atom
data_NbAgTe4
_cell_length_a 5.958
_cell_length_b 3.831
_cell_length_c 7.991
_cell_angle_alpha 90.00
_cell_angle_beta 94.73
_cell_angle_gamma 90.00
_space_group_name_H-M_alt 'P 1 2/m 1'
_space_group_IT_number 10
loop_
_space_group_symop_operation_xyz
'x,y,z'
'-x,-y,-z'
'-x,y,-z'
'x,-y,z'
loop_
_atom_site_label
_atom_site_type_symbol
_atom_site_fract_x
_atom_site_fract_y
_atom_site_fract_z
Nb1 Nb 0.000 0.000 0.000
Ag1 Ag 0.000 0.500 0.500
Te1 Te 0.220 0.000 0.317
Te2 Te 0.300 0.500 0.881

***

Entry 3:
# RbScTiPb2 PBE relaxed
# - E_form: 35.48 kcal/mol of atoms
# - Raw total energy: -2.984 eV/atom
data_RbScTiPb2
_cell_length_a 5.906
_cell_length_b 5.906
_cell_length_c 5.068
_cell_angle_alpha 90.00
_cell_angle_beta 90.00
_cell_angle_gamma 90.00
_space_group_name_H-M_alt 'P 4/m m m'
_space_group_IT_number 123
_space_group_name_Hall '-P 4 2'
loop_
_atom_site_label
_atom_site_type_symbol
_atom_site_fract_x
_atom_site_fract_y
_atom_site_fract_z
Rb1 Rb 0.000 0.000 0.000
Sc1 Sc 0.500 0.500 0.500
Ti1 Ti 0.000 0.000 0.500
Pb1 Pb 0.000 0.500 0.000

***

Entry 4:
# CaTlI2Cl PBE relaxed
# - Raw formation energy: -1.40 eV per atom
# - Raw total energy: -3.267 eV/atom
data_CaTlI2Cl
_cell_length_a 9.225
_cell_length_b 4.572
_cell_length_c 9.838
_cell_angle_alpha 90.00
_cell_angle_beta 104.01
_cell_angle_gamma 90.00
_space_group_name_H-M_alt 'P 1 21/m 1'
_space_group_IT_number 11
loop_
_space_group_symop_operation_xyz
'x,y,z'
'-x,-y,-z'
'-x,y+1/2,-z'
'x,-y+1/2,z'
loop_
_atom_site_label
_atom_site_type_symbol
_atom_site_fract_x
_atom_site_fract_y
_atom_site_fract_z
Ca1 Ca 0.179 0.250 0.177
Tl1 Tl 0.301 0.250 0.669
I1 I 0.125 0.750 0.379
I2 I 0.182 0.750 0.949
Cl1 Cl 0.469 0.250 0.280

***

Entry 5:
# MnMo2Ru PBE relaxed
# - E_form: 15.73 kcal/mol of atoms
# - Raw total energy: -9.345 eV/atom
data_MnMo2Ru
_cell_length_a 3.660
_cell_length_b 3.660
_cell_length_c 18.932
_cell_angle_alpha 90.00
_cell_angle_beta 90.00
_cell_angle_gamma 90.00
_space_group_name_H-M_alt 'I -4 2 d'
_space_group_IT_number 122
_space_group_name_Hall 'I -4 2bw'
loop_
_atom_site_label
_atom_site_type_symbol
_atom_site_fract_x
_atom_site_fract_y
_atom_site_fract_z
Mn1 Mn 0.000 0.000 0.000
Mo1 Mo 0.240 0.250 0.125
Ru1 Ru 0.000 0.000 0.500

***

Entry 6:
# ZnPb2Se PBE relaxed
# - Raw formation energy: -0.02 eV per atom
# - Raw total energy: -3.066 eV/atom
data_ZnPb2Se
_cell_length_a 4.165
_cell_length_b 4.655
_cell_length_c 5.459
_cell_angle_alpha 90.00
_cell_angle_beta 90.00
_cell_angle_gamma 90.00
_space_group_name_H-M_alt 'P m m m'
_space_group_IT_number 47
loop_
_space_group_symop_operation_xyz
'x,y,z'
'-x,-y,-z'
'-x,-y,z'
'x,y,-z'
'x,-y,-z'
'-x,y,z'
'-x,y,-z'
'x,-y,z'
loop_
_atom_site_label
_atom_site_type_symbol
_atom_site_fract_x
_atom_site_fract_y
_atom_site_fract_z
Zn1 Zn 0.000 0.000 0.000
Pb1 Pb 0.500 0.000 0.500
Pb2 Pb 0.500 0.500 0.000
Se1 Se 0.000 0.500 0.500

***

Entry 7:
# LaMnTeP2 PBE relaxed
# - Raw formation energy: -0.47 eV per atom
# - Raw total energy: -6.082 eV/atom
data_LaMnTeP2
_cell_length_a 4.565
_cell_length_b 4.565
_cell_length_c 5.411
_cell_angle_alpha 90.00
_cell_angle_beta 90.00
_cell_angle_gamma 90.00
_space_group_name_H-M_alt 'P 4/m m m'
_space_group_IT_number 123
_space_group_name_Hall '-P 4 2'
loop_
_atom_site_label
_atom_site_type_symbol
_atom_site_fract_x
_atom_site_fract_y
_atom_site_fract_z
La1 La 0.000 0.000 0.000
Mn1 Mn 0.500 0.500 0.500
Te1 Te 0.500 0.500 0.000
P1 P 0.000 0.500 0.500

***

Entry 8:
# TbPrPb PBE relaxed
# - E_form: -5.33 kcal/mol of atoms
# - Raw total energy: -4.604 eV/atom
data_TbPrPb
_cell_length_a 5.3184
_cell_length_b 5.3184
_cell_length_c 3.9914
_cell_angle_alpha 90.00
_cell_angle_beta 90.00
_cell_angle_gamma 120.00
_space_group_name_H-M_alt 'P 3 m 1'
_space_group_IT_number 156
loop_
_space_group_symop_operation_xyz
'x,y,z'
'-y,x-y,z'
'-x+y,-x,z'
'-y,-x,z'
'-x+y,y,z'
'x,x-y,z'
loop_
_atom_site_label
_atom_site_type_symbol
_atom_site_fract_x
_atom_site_fract_y
_atom_site_fract_z
Tb1 Tb 0.0000 0.0000 0.0000
Pr1 Pr 0.6667 0.3333 0.4963
Pb1 Pb 0.3333 0.6667 0.9836

***

- Which value of raw total energy does entry 1 give?
  -5.416 eV/atom

***

- What is the raw total energy in the third record?
  -2.984 eV/atom